[1]
Below is a relaxed structure of RbNaN2F, with properties calculated at the PBE-GGA level.

extended XYZ file:
```
5
Lattice="4.793 0.000 0.000 0.000 4.793 0.000 0.000 0.000 4.471" Properties=species:S:1:pos:R:3 pbc="T T T"
Rb 0.000 0.000 0.000
Na 2.397 2.397 2.235
N 0.000 2.397 2.235
N 2.397 0.000 2.235
F 2.397 2.397 0.000
```

Summary:
The calculated density comes out at 2.51 g cm⁻³. As for the uncorrected formation energy: 534 meV per atom. As for the total magnetization: 5.0 μB/f.u.

[2]
Below is a relaxed structure of CuHBr, with properties calculated at the PBE-GGA level.

extended XYZ file:
```
6
Lattice="3.360 0.000 0.000 0.000 4.532 0.000 -1.669 0.000 6.591" Properties=species:S:1:pos:R:3 pbc="T T T"
Cu -0.003 1.133 0.852
Cu 1.694 3.399 5.739
H 0.014 3.399 5.647
H 1.677 1.133 0.944
Br 0.000 3.399 1.778
Br 1.691 1.133 4.813
```

Summary:
The calculated density comes out at 4.78 g cm⁻³. As for the total magnetization: 0.0 μB/f.u. The calculation puts the total energy at -2.91 eV per atom.